# 1
Computed, not measured: an optimized crystal structure of Nd2PaBi3 at the PBE level of DFT.

Values from the calculation:
formation energy from the elements = -0.649 eV/atom
magnetic moment = 4.37 μB per cell
uncorrected energy = -5.762 eV/atom
Fermi-level density of states = 28.7 states/eV/cell

a = 15.115 Å, b = 14.413 Å, c = 7.910 Å
α = 79.43°, β = 69.61°, γ = 30.96°
Fractional positions:
1 Nd 0.043 0.043 0.207
2 Nd 0.124 0.124 0.626
3 Nd 0.207 0.207 0.043
4 Nd 0.374 0.374 0.876
5 Nd 0.626 0.626 0.124
6 Nd 0.793 0.793 0.957
7 Nd 0.876 0.876 0.374
8 Nd 0.957 0.957 0.793
9 Pa 0.291 0.291 0.459
10 Pa 0.459 0.459 0.291
11 Pa 0.541 0.541 0.709
12 Pa 0.709 0.709 0.541
13 Bi 0.040 0.540 0.216
14 Bi 0.133 0.617 0.617
15 Bi 0.216 0.703 0.040
16 Bi 0.297 0.784 0.460
17 Bi 0.383 0.867 0.867
18 Bi 0.460 0.960 0.297
19 Bi 0.540 0.040 0.703
20 Bi 0.617 0.133 0.133
21 Bi 0.703 0.216 0.540
22 Bi 0.784 0.297 0.960
23 Bi 0.867 0.383 0.383
24 Bi 0.960 0.460 0.784


# 2
Computed, not measured: an optimized crystal structure of BaTl2CuRh at the PBE level of DFT.

Values from the calculation:
formation energy from the elements = -0.052 eV/atom
magnetic moment = 0.00 μB per cell
uncorrected energy = -3.673 eV/atom
Fermi-level density of states = 2.7 states/eV/cell

a = 5.234 Å, b = 5.234 Å, c = 5.148 Å
α = 90.00°, β = 90.00°, γ = 90.00°
Fractional positions:
1 Ba 0.000 0.000 0.000
2 Tl 0.000 0.500 0.500
3 Tl 0.500 0.000 0.500
4 Cu 0.500 0.500 0.000
5 Rh 0.500 0.500 0.500


# 3
Computed, not measured: an optimized crystal structure of Sc2CdTc2 at the PBE level of DFT.

Values from the calculation:
formation energy from the elements = 0.232 eV/atom
magnetic moment = 0.59 μB per cell
uncorrected energy = -6.630 eV/atom
Fermi-level density of states = 10.9 states/eV/cell

a = 7.446 Å, b = 7.446 Å, c = 3.337 Å
α = 90.00°, β = 90.00°, γ = 90.00°
Fractional positions:
1 Sc 0.137 0.363 0.000
2 Sc 0.363 0.863 0.000
3 Sc 0.637 0.137 0.000
4 Sc 0.863 0.637 0.000
5 Cd 0.000 0.000 0.000
6 Cd 0.500 0.500 0.000
7 Tc 0.164 0.664 0.500
8 Tc 0.336 0.164 0.500
9 Tc 0.664 0.836 0.500
10 Tc 0.836 0.336 0.500


# 4
Computed, not measured: an optimized crystal structure of PuSn2Sb2 at the PBE level of DFT.

Values from the calculation:
formation energy without anion corrections = -0.28 eV per atom
magnetic moment = 11.12 μB per cell
uncorrected energy = -6.392 eV/atom
Fermi-level density of states = 23.3 states/eV/cell

a = 13.563 Å, b = 13.563 Å, c = 4.483 Å
α = 90.00°, β = 90.00°, γ = 160.98°
Fractional positions:
1 Pu 0.159 0.841 0.750
2 Pu 0.841 0.159 0.250
3 Sn 0.055 0.945 0.250
4 Sn 0.449 0.551 0.250
5 Sn 0.551 0.449 0.750
6 Sn 0.945 0.055 0.750
7 Sb 0.250 0.750 0.250
8 Sb 0.357 0.643 0.750
9 Sb 0.643 0.357 0.250
10 Sb 0.750 0.250 0.750


# 5
Computed, not measured: an optimized crystal structure of Rb2PuPaS4 at the PBE level of DFT.

Values from the calculation:
formation energy without anion corrections = -1.54 eV per atom
magnetic moment = 7.01 μB per cell
uncorrected energy = -6.822 eV/atom
Fermi-level density of states = 11.9 states/eV/cell

a = 7.131 Å, b = 4.104 Å, c = 8.071 Å
α = 90.00°, β = 106.92°, γ = 90.00°
Fractional positions:
1 Rb 0.000 0.000 0.000
2 Rb 0.500 0.500 0.000
3 Pu 0.000 0.500 0.500
4 Pa 0.500 0.000 0.500
5 S 0.240 0.000 0.693
6 S 0.275 0.500 0.306
7 S 0.725 0.500 0.694
8 S 0.760 0.000 0.307


# 6
Computed, not measured: an optimized crystal structure of RbCdAu at the PBE level of DFT.

Values from the calculation:
formation energy from the elements = -0.091 eV/atom
magnetic moment = 0.00 μB per cell
uncorrected energy = -1.811 eV/atom
Fermi-level density of states = 3.6 states/eV/cell

a = 7.616 Å, b = 7.616 Å, c = 7.616 Å
α = 90.00°, β = 90.00°, γ = 90.00°
Fractional positions:
1 Rb 0.000 0.000 0.000
2 Rb 0.000 0.500 0.500
3 Rb 0.500 0.000 0.500
4 Rb 0.500 0.500 0.000
5 Cd 0.000 0.000 0.500
6 Cd 0.000 0.500 0.000
7 Cd 0.500 0.000 0.000
8 Cd 0.500 0.500 0.500
9 Au 0.250 0.250 0.250
10 Au 0.250 0.750 0.750
11 Au 0.750 0.250 0.750
12 Au 0.750 0.750 0.250